This record from Alexandria via LeMat-Bulk describes K2P2Ir after structural relaxation. The functional is GGA-PBEsol.

Its formation energy is -446 meV per atom. As for the crystal system: tetragonal.

The space group is P4/mbm (No. 127) and the conventional cell measures 6.025, 6.025 and 5.421 Å, with angles of 90.00, 90.00 and 90.00 degrees. Symmetry generates all atoms from K at (0.181, 0.319, 0.000), P at (0.132, 0.632, 0.500) and Ir at (0.000, 0.000, 0.500).